[1]
This record from Alexandria describes a relaxed structure of SiTcRh2. The functional is PBEsol.

Calculated values
final energy	-8.6043	eV per atom
space group	Pmm2
formation energy (no corrections)	-0.2818	eV/atom
spin magnetization	0.0000	μB per atom
theoretical density	10.4	g/cm³

a = 2.729 Å, b = 3.569 Å, c = 5.466 Å
α = 90.00°, β = 90.00°, γ = 90.00°
Element x y z (fractional)
Si 0.000 0.000 0.000
Tc 0.500 0.500 0.285
Rh 0.000 0.000 0.506
Rh 0.500 0.500 0.800

=====

[2]
This record from Alexandria describes a relaxed structure of Si2TcRh. The functional is PBEsol.

Calculated values
final energy	-8.2099	eV per atom
space group	R-3m
formation energy (no corrections)	-0.4854	eV/atom
spin magnetization	0.0001	μB per atom
theoretical density	8.1	g/cm³

a = 2.819 Å, b = 2.819 Å, c = 22.907 Å
α = 90.00°, β = 90.00°, γ = 120.00°
Element x y z (fractional)
Si 0.000 0.000 0.249
Si 0.000 0.000 0.751
Si 0.333 0.667 0.417
Si 0.333 0.667 0.916
Si 0.667 0.333 0.084
Si 0.667 0.333 0.583
Tc 0.000 0.000 0.000
Tc 0.333 0.667 0.667
Tc 0.667 0.333 0.333
Rh 0.000 0.000 0.500
Rh 0.333 0.667 0.167
Rh 0.667 0.333 0.833

=====

[3]
This record from Alexandria describes a relaxed structure of Si4TeRh. The functional is PBEsol.

Calculated values
final energy	-5.2433	eV per atom
space group	F-43m
formation energy (no corrections)	0.5320	eV/atom
spin magnetization	0.0000	μB per atom
theoretical density	5.9	g/cm³

a = 5.153 Å, b = 5.153 Å, c = 5.153 Å
α = 60.00°, β = 60.00°, γ = 60.00°
Element x y z (fractional)
Si 0.125 0.125 0.125
Si 0.125 0.125 0.624
Si 0.125 0.624 0.125
Si 0.624 0.125 0.125
Te 0.750 0.750 0.750
Rh 0.500 0.500 0.500